[1]
A relaxed ZnCoSi2As crystal, computed with GGA-PBE.

- Formation energy without anion corrections: 1.2672 eV/atom
- DOS(E_F): 3.02 states/eV/f.u.

Cell: 4.601 4.601 4.815 Å, 90.00 90.00 90.00°
Space group P4/mmm (No. 123)
Symmetry-distinct sites (fractional):
Zn  0.000  0.000  0.000 [1 per cell]
Co  0.500  0.500  0.500 [1 per cell]
Si  0.000  0.500  0.000 [2 per cell]
As  0.000  0.000  0.500 [1 per cell]

[2]
A relaxed Pu2UTe2N2 crystal, computed with GGA-PBE.

- Formation energy without anion corrections: -1.1504 eV/atom
- DOS(E_F): 15.14 states/eV/f.u.

Cell: 4.342 4.342 16.351 Å, 90.00 90.00 90.00°
Space group I4/mmm (No. 139)
Symmetry-distinct sites (fractional):
Pu  0.000  0.000  0.106 [4 per cell]
U  0.000  0.000  0.500 [2 per cell]
Te  0.000  0.000  0.315 [4 per cell]
N  0.000  0.500  0.000 [4 per cell]

[3]
A relaxed VAgMo crystal, computed with GGA-PBE.

- Calculated formation energy: 2.03 eV/f.u.
- DOS(E_F): 2.58 states/eV/f.u.

Cell: 5.057 8.214 9.973 Å, 90.00 90.00 90.00°
Space group Fmmm (No. 69)
Symmetry-distinct sites (fractional):
V  0.000  0.000  0.146 [8 per cell]
Ag  0.000  0.167  0.500 [8 per cell]
Mo  0.250  0.250  0.250 [8 per cell]

[4]
A relaxed TlVTeN2 crystal, computed with GGA-PBE.

- Formation energy without anion corrections: 2.2007 eV/atom
- Offset from the most stable computed form: 163.0 kJ/mol of atoms
- DOS(E_F): 10.53 states/eV/f.u.

Cell: 4.128 4.128 6.278 Å, 90.00 90.00 90.00°
Space group P4/mmm (No. 123)
Symmetry-distinct sites (fractional):
Tl  0.000  0.000  0.000 [1 per cell]
V  0.500  0.500  0.500 [1 per cell]
Te  0.000  0.000  0.500 [1 per cell]
N  0.000  0.500  0.000 [2 per cell]

[5]
A relaxed Mg3ScSi crystal, computed with GGA-PBE.

- Formation energy without anion corrections: 0.3426 eV/atom
- Offset from the most stable computed form: 0.0 kJ/mol of atoms
- DOS(E_F): 3.67 states/eV/f.u.

Cell: 5.006 5.006 5.006 Å, 90.00 90.00 90.00°
Space group Pm-3m (No. 221)
Symmetry-distinct sites (fractional):
Mg  0.000  0.000  0.500 [3 per cell]
Sc  0.500  0.500  0.500 [1 per cell]
Si  0.000  0.000  0.000 [1 per cell]

[6]
A relaxed SrLaBrN crystal, computed with GGA-PBE.

- Formation energy without anion corrections: -1.3425 eV/atom
- DOS(E_F): 0.18 states/eV/f.u.

Cell: 3.9277 3.9277 22.6439 Å, 90.00 90.00 120.00°
Space group R3m (No. 160, hexagonal axes)
Symmetry-distinct sites (fractional):
Sr  0.0000  0.0000  0.0000 [3 per cell]
La  0.0000  0.0000  0.2111 [3 per cell]
Br  0.0000  0.0000  0.7703 [3 per cell]
N  0.0000  0.0000  0.5856 [3 per cell]

[7]
A relaxed Hf6PbS crystal, computed with GGA-PBE.

- Formation energy without anion corrections: -0.2146 eV/atom
- DOS(E_F): 4.92 states/eV/f.u.

Cell: 9.2113 9.2113 7.3727 Å, 90.00 90.00 120.00°
Space group R-3m (No. 166, hexagonal axes)
Symmetry-distinct sites (fractional):
Hf  0.0519  0.5260  0.3077 [18 per cell]
Pb  0.0000  0.0000  0.0000 [3 per cell]
S  0.0000  0.0000  0.5000 [3 per cell]

[8]
A relaxed NaIr2O5 crystal, computed with GGA-PBE.

- Formation energy without anion corrections: -0.8243 eV/atom
- DOS(E_F): 5.85 states/eV/f.u.

Cell: 3.968 10.247 9.711 Å, 90.00 90.00 90.00°
Space group Cmcm (No. 63)
Symmetry-distinct sites (fractional):
Na  0.000  0.073  0.250 [4 per cell]
Ir  0.000  0.359  0.061 [8 per cell]
O  0.000  0.177  0.532 [8 per cell]
O  0.000  0.296  0.250 [4 per cell]
O  0.000  0.454  0.615 [8 per cell]

[9]
A relaxed Pm3Al2Ag9 crystal, computed with GGA-PBE.

- Calculated formation energy: -2.96 eV/f.u.
- DOS(E_F): 7.30 states/eV/f.u.

Cell: 4.601 10.105 12.884 Å, 90.00 90.00 90.00°
Space group Immm (No. 71)
Symmetry-distinct sites (fractional):
Pm  0.000  0.000  0.000 [2 per cell]
Pm  0.000  0.000  0.298 [4 per cell]
Al  0.000  0.191  0.500 [4 per cell]
Ag  0.000  0.282  0.127 [8 per cell]
Ag  0.000  0.364  0.341 [8 per cell]
Ag  0.000  0.500  0.000 [2 per cell]

[10]
A relaxed La2MgCd crystal, computed with GGA-PBE.

- Calculated formation energy: -0.20 eV/f.u.
- DOS(E_F): 3.13 states/eV/f.u.

Cell: 3.6838 3.6838 32.5673 Å, 90.00 90.00 120.00°
Space group R-3m (No. 166, hexagonal axes)
Symmetry-distinct sites (fractional):
La  0.0000  0.0000  0.2484 [6 per cell]
Mg  0.0000  0.0000  0.0000 [3 per cell]
Cd  0.0000  0.0000  0.5000 [3 per cell]

[11]
A relaxed YMg2In crystal, computed with GGA-PBE.

- Calculated formation energy: -0.67 eV/f.u.
- DOS(E_F): 3.39 states/eV/f.u.

Cell: 3.834 5.090 10.542 Å, 90.00 90.00 90.00°
Space group Immm (No. 71)
Symmetry-distinct sites (fractional):
Y  0.000  0.000  0.000 [2 per cell]
Mg  0.000  0.500  0.237 [4 per cell]
In  0.000  0.000  0.500 [2 per cell]

[12]
A relaxed ThFe4P2 crystal, computed with GGA-PBE.

- Calculated formation energy: -4.25 eV/f.u.
- Offset from the most stable computed form: 0.0 kJ/mol of atoms
- DOS(E_F): 7.20 states/eV/f.u.

Cell: 7.205 7.205 3.599 Å, 90.00 90.00 90.00°
Space group P4_2/mnm (No. 136)
Symmetry-distinct sites (fractional):
Th  0.000  0.000  0.000 [2 per cell]
Fe  0.077  0.348  0.500 [8 per cell]
P  0.224  0.776  0.500 [4 per cell]

[13]
A relaxed RbVI5 crystal, computed with GGA-PBE.

- Formation energy without anion corrections: -0.6223 eV/atom
- DOS(E_F): 5.96 states/eV/f.u.

Cell: 8.388 9.556 9.533 Å, 90.00 90.00 90.00°
Space group Imm2 (No. 44)
Symmetry-distinct sites (fractional):
Rb  0.000  0.000  0.000 [2 per cell]
V  0.000  0.500  0.307 [2 per cell]
I  0.000  0.216  0.318 [4 per cell]
I  0.000  0.500  0.582 [2 per cell]
I  0.241  0.000  0.661 [4 per cell]

[14]
A relaxed BaTc2Au crystal, computed with GGA-PBE.

- Calculated formation energy: 4.09 eV/f.u.
- Offset from the most stable computed form: 75.5 kJ/mol of atoms
- DOS(E_F): 4.26 states/eV/f.u.

Cell: 2.926 2.926 9.470 Å, 90.00 90.00 90.00°
Space group P4/mmm (No. 123)
Symmetry-distinct sites (fractional):
Ba  0.000  0.000  0.000 [1 per cell]
Tc  0.500  0.500  0.296 [2 per cell]
Au  0.000  0.000  0.500 [1 per cell]

[15]
A relaxed NaSbNO2 crystal, computed with GGA-PBE.

- Formation energy without anion corrections: 0.8518 eV/atom
- DOS(E_F): 2.53 states/eV/f.u.

Cell: 4.082 4.082 4.091 Å, 90.00 90.00 90.00°
Space group P4/mmm (No. 123)
Symmetry-distinct sites (fractional):
Na  0.000  0.000  0.000 [1 per cell]
Sb  0.500  0.500  0.500 [1 per cell]
N  0.000  0.000  0.500 [1 per cell]
O  0.000  0.500  0.000 [2 per cell]

[16]
A relaxed BaSc2PbI crystal, computed with GGA-PBE.

- Formation energy without anion corrections: 1.0869 eV/atom
- DOS(E_F): 5.98 states/eV/f.u.

Cell: 5.671 5.671 6.197 Å, 90.00 90.00 90.00°
Space group P4/mmm (No. 123)
Symmetry-distinct sites (fractional):
Ba  0.000  0.000  0.000 [1 per cell]
Sc  0.000  0.500  0.000 [2 per cell]
Pb  0.000  0.000  0.500 [1 per cell]
I  0.500  0.500  0.500 [1 per cell]

[17]
A relaxed NaBi12O20 crystal, computed with GGA-PBE.

- Formation energy without anion corrections: -1.1244 eV/atom
- DOS(E_F): 30.58 states/eV/f.u.

Cell: 10.287 10.287 10.287 Å, 90.00 90.00 90.00°
Space group I23 (No. 197)
Symmetry-distinct sites (fractional):
Na  0.000  0.000  0.000 [2 per cell]
Bi  0.001  0.172  0.316 [24 per cell]
O  0.003  0.370  0.735 [24 per cell]
O  0.144  0.144  0.856 [8 per cell]
O  0.165  0.165  0.165 [8 per cell]

[18]
A relaxed LaZrPb2 crystal, computed with GGA-PBE.

- Calculated formation energy: 0.53 eV/f.u.
- DOS(E_F): 4.07 states/eV/f.u.

Cell: 7.743 7.743 7.743 Å, 90.00 90.00 90.00°
Space group F-43m (No. 216)
Symmetry-distinct sites (fractional):
La  0.000  0.000  0.000 [4 per cell]
Zr  0.250  0.250  0.250 [4 per cell]
Pb  0.000  0.000  0.500 [4 per cell]
Pb  0.250  0.250  0.750 [4 per cell]

[19]
A relaxed Ce3MgGe6Pd2 crystal, computed with GGA-PBE.

- Calculated formation energy: -5.23 eV/f.u.
- DOS(E_F): 15.90 states/eV/f.u.

Cell: 6.0243 6.0243 8.1518 Å, 90.00 90.00 120.00°
Space group P-3m1 (No. 164)
Symmetry-distinct sites (fractional):
Ce  0.0000  0.0000  0.0000 [1 per cell]
Ce  0.3333  0.6667  0.6277 [2 per cell]
Mg  0.0000  0.0000  0.5000 [1 per cell]
Ge  0.1898  0.3797  0.2803 [6 per cell]
Pd  0.3333  0.6667  0.0187 [2 per cell]

[20]
A relaxed RbTlCr2 crystal, computed with GGA-PBE.

- Calculated formation energy: 4.25 eV/f.u.
- Offset from the most stable computed form: 0.0 kJ/mol of atoms
- DOS(E_F): 2.83 states/eV/f.u.

Cell: 5.720 5.720 19.193 Å, 90.00 90.00 90.00°
Space group I4_1/amd (No. 141, origin choice 2)
Symmetry-distinct sites (fractional):
Rb  0.000  0.250  0.375 [4 per cell]
Tl  0.000  0.250  0.875 [4 per cell]
Cr  0.000  0.000  0.000 [8 per cell]

[21]
A relaxed YEr3Sc crystal, computed with GGA-PBE.

- Calculated formation energy: 0.08 eV/f.u.
- DOS(E_F): 9.13 states/eV/f.u.

Cell: 6.123 6.549 8.983 Å, 107.63 90.05 117.82°
Space group P-1 (No. 2)
Symmetry-distinct sites (fractional):
Y  0.032  0.403  0.154 [2 per cell]
Er  0.169  0.006  0.254 [2 per cell]
Er  0.235  0.802  0.549 [2 per cell]
Er  0.433  0.203  0.948 [2 per cell]
Sc  0.368  0.402  0.646 [2 per cell]

[22]
A relaxed CePu2CuP4 crystal, computed with GGA-PBE.

- Calculated formation energy: -7.59 eV/f.u.
- DOS(E_F): 19.97 states/eV/f.u.

Cell: 3.946 12.947 13.160 Å, 90.00 90.00 90.00°
Space group Cmcm (No. 63)
Symmetry-distinct sites (fractional):
Ce  0.000  0.112  0.250 [4 per cell]
Pu  0.000  0.367  0.060 [8 per cell]
Cu  0.000  0.146  0.750 [4 per cell]
P  0.000  0.000  0.000 [4 per cell]
P  0.000  0.271  0.625 [8 per cell]
P  0.000  0.452  0.250 [4 per cell]

[23]
A relaxed Hf2BeFeAu crystal, computed with GGA-PBE.

- Calculated formation energy: 6.25 eV/f.u.
- DOS(E_F): 4.84 states/eV/f.u.

Cell: 5.047 5.047 4.623 Å, 90.00 90.00 90.00°
Space group P4/mmm (No. 123)
Symmetry-distinct sites (fractional):
Hf  0.000  0.500  0.000 [2 per cell]
Be  0.000  0.000  0.500 [1 per cell]
Fe  0.500  0.500  0.500 [1 per cell]
Au  0.500  0.500  0.000 [1 per cell]

[24]
A relaxed Ba2Zn3CdGa4 crystal, computed with GGA-PBE.

- Calculated formation energy: -3.27 eV/f.u.
- DOS(E_F): 4.77 states/eV/f.u.

Cell: 4.605 4.605 11.117 Å, 90.00 90.00 90.00°
Space group P-4m2 (No. 115)
Symmetry-distinct sites (fractional):
Ba  0.000  0.500  0.246 [2 per cell]
Zn  0.000  0.500  0.875 [2 per cell]
Zn  0.500  0.500  0.500 [1 per cell]
Cd  0.000  0.000  0.500 [1 per cell]
Ga  0.000  0.000  0.000 [1 per cell]
Ga  0.000  0.500  0.636 [2 per cell]
Ga  0.500  0.500  0.000 [1 per cell]